First-principles (PBE-GGA) data for a relaxed structure of Nd12Tl4SnO3, as listed in Alexandria via LeMat-Bulk.

The calculation puts the uncorrected formation energy at -0.93 eV/atom.

Lattice parameters (Å, degrees): 9.0310 9.0310 9.0310 109.47 109.47 109.47
Positions (direct):
Nd 0.2500 0.5000 0.7500
Nd 0.7252 0.0000 0.7252
Nd 0.2748 0.0000 0.2748
Nd 0.7500 0.5000 0.2500
Nd 0.7252 0.7252 0.0000
Nd 0.2748 0.2748 0.0000
Nd 0.7500 0.2500 0.5000
Nd 0.2500 0.7500 0.5000
Nd 0.5000 0.2500 0.7500
Nd 0.0000 0.7252 0.7252
Nd 0.5000 0.7500 0.2500
Nd 0.0000 0.2748 0.2748
Tl 0.5000 0.5000 0.5000
Tl 0.0000 0.0000 0.5000
Tl 0.5000 0.0000 0.0000
Tl 0.0000 0.5000 0.0000
Sn 0.0000 0.0000 0.0000
O 0.5000 0.0000 0.5000
O 0.5000 0.5000 0.0000
O 0.0000 0.5000 0.5000